(1)
! BeAg2Sb (PBE-GGA, optimized geometry); values from VASP
&SYSTEM
  ibrav = 0, nat = 4, ntyp = 3
/
ATOMIC_SPECIES
Sb 121.76 Sb.upf
Be 9.01 Be.upf
Ag 107.87 Ag.upf
CELL_PARAMETERS angstrom
-4.134 7.437 2.343
-6.297 6.165 0.466
-6.134 5.307 3.476
ATOMIC_POSITIONS angstrom
Sb -12.424 14.182 4.714
Be -4.141 4.727 1.571
Ag -16.284 18.588 6.178
Ag -8.563 9.775 3.249
! Uncorrected formation energy (kJ/mol of formula units): 135
! Uncorrected energy (eV/atom): -3.038
! D(E_F) (states/eV/f.u.): 2.69



(2)
! BeAg2Sb (PBE-GGA, optimized geometry); values from VASP
&SYSTEM
  ibrav = 0, nat = 4, ntyp = 3
/
ATOMIC_SPECIES
Sb 121.76 Sb.upf
Be 9.01 Be.upf
Ag 107.87 Ag.upf
CELL_PARAMETERS angstrom
-0.491 -1.128 2.761
-1.415 -2.372 -1.228
6.877 -3.908 -0.375
ATOMIC_POSITIONS angstrom
Sb 4.205 -4.681 0.485
Be 0.766 -2.727 0.673
Ag 0.468 -0.266 -0.025
Ag 2.971 -1.688 -0.162
! Uncorrected formation energy (kJ/mol of formula units): 86
! Uncorrected energy (eV/atom): -3.164
! D(E_F) (states/eV/f.u.): 1.63



(3)
! BeAg2Sb (PBE-GGA, optimized geometry); values from VASP
&SYSTEM
  ibrav = 0, nat = 4, ntyp = 3
/
ATOMIC_SPECIES
Sb 121.76 Sb.upf
Ag 107.87 Ag.upf
Be 9.01 Be.upf
CELL_PARAMETERS angstrom
-3.355 6.573 4.425
-5.543 4.328 4.958
-2.924 4.454 6.757
ATOMIC_POSITIONS angstrom
Sb -2.815 3.656 3.843
Ag -0.054 0.070 0.073
Be -5.858 7.608 7.998
Ag -9.007 11.698 12.296
! Uncorrected formation energy (kJ/mol of formula units): 124
! Uncorrected energy (eV/atom): -3.067
! D(E_F) (states/eV/f.u.): 1.72



(4)
! BeAg2Sb (PBE-GGA, optimized geometry); values from VASP
&SYSTEM
  ibrav = 0, nat = 4, ntyp = 3
/
ATOMIC_SPECIES
Ag 107.87 Ag.upf
Be 9.01 Be.upf
Sb 121.76 Sb.upf
CELL_PARAMETERS angstrom
-4.637 0.726 3.067
-4.733 -2.505 -1.659
5.318 -0.556 1.685
ATOMIC_POSITIONS angstrom
Ag -8.939 -1.697 1.343
Ag -5.115 -0.971 0.768
Be -2.002 -0.360 2.728
Sb -2.050 -1.975 0.365
! Uncorrected formation energy (kJ/mol of formula units): 113
! Uncorrected energy (eV/atom): -3.095
! D(E_F) (states/eV/f.u.): 1.04



(5)
! BeAg2Sb (PBE-GGA, optimized geometry); values from VASP
&SYSTEM
  ibrav = 0, nat = 4, ntyp = 3
/
ATOMIC_SPECIES
Be 9.01 Be.upf
Ag 107.87 Ag.upf
Sb 121.76 Sb.upf
CELL_PARAMETERS angstrom
3.244 0.000 0.000
0.000 3.244 0.000
0.000 0.000 6.996
ATOMIC_POSITIONS angstrom
Be 0.000 0.000 2.954
Ag 0.000 0.000 0.319
Ag 1.622 1.622 2.110
Sb 1.622 1.622 5.111
! Uncorrected formation energy (kJ/mol of formula units): 111
! Uncorrected energy (eV/atom): -3.100
! D(E_F) (states/eV/f.u.): 0.96



(6)
! BeAg2Sb (PBE-GGA, optimized geometry); values from VASP
&SYSTEM
  ibrav = 0, nat = 4, ntyp = 3
/
ATOMIC_SPECIES
Ag 107.87 Ag.upf
Sb 121.76 Sb.upf
Be 9.01 Be.upf
CELL_PARAMETERS angstrom
-4.690 1.289 1.137
0.295 -3.523 -3.528
-0.077 -2.301 2.291
ATOMIC_POSITIONS angstrom
Ag -2.197 -1.117 -1.196
Sb 0.109 -2.912 -0.618
Ag 0.000 0.000 0.000
Be -2.383 -0.506 1.714
! Uncorrected formation energy (kJ/mol of formula units): 156
! Uncorrected energy (eV/atom): -2.983
! D(E_F) (states/eV/f.u.): 0.96



Which of these has the highest uncorrected energy?
number 6



Please write out number 4 again, unchanged.
! BeAg2Sb (PBE-GGA, optimized geometry); values from VASP
&SYSTEM
  ibrav = 0, nat = 4, ntyp = 3
/
ATOMIC_SPECIES
Ag 107.87 Ag.upf
Be 9.01 Be.upf
Sb 121.76 Sb.upf
CELL_PARAMETERS angstrom
-4.637 0.726 3.067
-4.733 -2.505 -1.659
5.318 -0.556 1.685
ATOMIC_POSITIONS angstrom
Ag -8.939 -1.697 1.343
Ag -5.115 -0.971 0.768
Be -2.002 -0.360 2.728
Sb -2.050 -1.975 0.365
! Uncorrected formation energy (kJ/mol of formula units): 113
! Uncorrected energy (eV/atom): -3.095
! D(E_F) (states/eV/f.u.): 1.04